First-principles (PBE) data for an optimized crystal structure of Fe3HW, as listed in Alexandria.

Cell lengths 4.927, 4.927, 6.067 Å; angles 125.01, 125.01, 64.15 degrees
Sites, in units of the cell vectors:
Fe1 0.039 0.546 0.828
Fe2 0.041 0.041 0.326
Fe3 0.454 0.961 0.172
Fe4 0.464 0.453 0.670
Fe5 0.547 0.536 0.330
Fe6 0.959 0.959 0.674
H1 0.477 0.523 0.000
H2 0.759 0.241 0.500
W1 0.525 0.011 0.818
W2 0.989 0.475 0.182

Computed properties:
The density of states at the Fermi level comes out at 9.086 states/eV per cell. The calculation puts the energy relative to the lowest polymorph listed for this composition at 52.5 meV/atom. Its crystal system is monoclinic. The volume is 9.75 A^3/atom.



First-principles (PBE) data for an optimized crystal structure of Pu2MgAs3Pt4, as listed in Alexandria.

Cell lengths 4.125, 4.125, 11.345 Å; angles 90.00, 90.00, 90.00 degrees
Sites, in units of the cell vectors:
Pu1 0.000 0.500 0.229
Pu2 0.500 0.000 0.771
Mg1 0.000 0.000 0.500
As1 0.000 0.500 0.859
As2 0.500 0.000 0.141
As3 0.500 0.500 0.500
Pt1 0.000 0.000 0.000
Pt2 0.000 0.500 0.643
Pt3 0.500 0.000 0.357
Pt4 0.500 0.500 0.000

Computed properties:
The density of states at the Fermi level comes out at 29.848 states/eV per cell. Its crystal system is tetragonal. The volume is 19.30 A^3/atom. Its formation energy is -65.2 kJ/mol of atoms.



Number 1: total energy -82.79 eV per cell. Number 2: total energy -75.13 eV per cell.